Here is a relaxed structure of PaZn3Au4 from Alexandria via LeMat-Bulk. Energies are from PBE-GGA.

The structure in POSCAR format:
```
PaZn3Au4
1.0
-1.395 -0.929 -4.149
-4.037 -1.819 -0.648
-5.243 6.914 -2.197
Zn Pa Au
3 1 4
direct
0.244 0.244 0.269
0.756 0.756 0.731
0.500 0.500 0.500
0.000 0.000 0.000
0.870 0.870 0.389
0.392 0.392 0.824
0.130 0.130 0.611
0.608 0.608 0.176
```

Calculated values
Its crystal system is trigonal. The calculation puts the total moment at 0.0000 μB/atom. As for the density of states at the Fermi level: 5.5 states/eV/f.u. The volume is 148.6 Å³/cell. For the formation energy, the calculation gives -277 meV per atom.

Here is a relaxed structure of PaZn12Au6 from Alexandria via LeMat-Bulk. Energies are from PBE-GGA.

The structure in POSCAR format:
```
PaZn12Au6
1.0
-4.681 -4.402 -3.425
6.147 -0.463 -3.876
1.500 -3.406 6.258
Pa Zn Au
1 12 6
direct
0.000 0.000 0.000
0.893 0.107 0.500
0.860 0.617 0.617
0.617 0.617 0.860
0.383 0.140 0.383
0.383 0.383 0.140
0.140 0.383 0.383
0.107 0.500 0.893
0.500 0.893 0.107
0.107 0.893 0.500
0.893 0.500 0.107
0.500 0.107 0.893
0.617 0.860 0.617
0.716 0.286 0.286
0.286 0.286 0.716
0.286 0.716 0.286
0.714 0.714 0.284
0.284 0.714 0.714
0.714 0.284 0.714
```

Calculated values
Its crystal system is trigonal. The calculation puts the total moment at 0.0947 μB/atom. As for the density of states at the Fermi level: 13.2 states/eV/f.u. The volume is 339.6 Å³/cell. For the formation energy, the calculation gives -117 meV per atom.

Here is a relaxed structure of PaZn10Au2 from Alexandria via LeMat-Bulk. Energies are from PBE-GGA.

The structure in POSCAR format:
```
PaZn10Au2
1.0
4.999 0.000 2.038
2.499 6.327 1.019
0.099 0.000 6.906
Pa Zn Au
1 10 2
direct
0.000 0.000 0.000
0.355 0.650 0.640
0.645 0.350 0.360
0.005 0.350 0.640
0.995 0.650 0.360
0.000 0.000 0.500
0.500 0.000 0.500
0.286 0.209 0.219
0.714 0.791 0.781
0.495 0.791 0.219
0.505 0.209 0.781
0.000 0.500 0.000
0.500 0.500 0.000
```

Calculated values
Its crystal system is orthorhombic. The calculation puts the total moment at 0.0555 μB/atom. As for the density of states at the Fermi level: 8.2 states/eV/f.u. The volume is 217.1 Å³/cell. For the formation energy, the calculation gives -99 meV per atom.

Here is a relaxed structure of Pa2Zn12Au5 from Alexandria via LeMat-Bulk. Energies are from PBE-GGA.

The structure in POSCAR format:
```
Pa2Zn12Au5
1.0
-3.313 2.729 5.462
-4.515 -5.213 0.834
3.632 -3.382 4.860
Pa Zn Au
2 12 5
direct
0.656 0.656 0.656
0.344 0.344 0.344
0.305 0.695 0.000
0.695 0.000 0.305
0.000 0.305 0.695
0.695 0.305 0.000
0.305 0.000 0.695
0.000 0.695 0.305
0.354 0.354 0.828
0.354 0.828 0.354
0.828 0.354 0.354
0.646 0.172 0.646
0.646 0.646 0.172
0.172 0.646 0.646
0.000 0.000 0.500
0.000 0.500 0.000
0.500 0.000 0.000
0.891 0.891 0.891
0.109 0.109 0.109
```

Calculated values
Its crystal system is trigonal. The calculation puts the total moment at 0.0451 μB/atom. As for the density of states at the Fermi level: 11.7 states/eV/f.u. The volume is 329.6 Å³/cell. For the formation energy, the calculation gives -149 meV per atom.